1.
MnVIrSe2 PBE optimized geometry; calculated volume = 86.0 Å³/f.u.; formation energy (no corrections) = 944 meV/atom
1.0
4.5079 0.0000 0.0000
0.0000 4.5079 0.0000
0.0000 0.0000 4.2345
Mn V Ir Se
1 1 1 2
direct
0.0000 0.0000 0.0000
0.0000 0.0000 0.5000
0.5000 0.5000 0.5000
0.0000 0.5000 0.0000
0.5000 0.0000 0.0000

***

2.
YSc2Be PBE optimized geometry; calculated volume = 88.6 Å³/f.u.; formation energy = 0.03 eV per atom
1.0
3.2570 0.0000 0.0000
0.0000 3.2570 0.0000
0.0000 0.0000 8.3497
Y Sc Be
1 2 1
direct
0.0000 0.0000 0.0000
0.5000 0.5000 0.3163
0.5000 0.5000 0.6837
0.0000 0.0000 0.5000

***

3.
HfZr2AlFe PBE optimized geometry; calculated volume = 106.9 Å³/f.u.; formation energy = 0.74 eV per atom
1.0
5.0427 0.0000 0.0000
0.0000 5.0427 0.0000
0.0000 0.0000 4.2044
Hf Zr Al Fe
1 2 1 1
direct
0.0000 0.0000 0.0000
0.0000 0.5000 0.5000
0.5000 0.0000 0.5000
0.5000 0.5000 0.5000
0.5000 0.5000 0.0000

***

4.
BaPb2W PBE optimized geometry; relative energy among the computed polymorphs = 2.00 eV per formula unit; calculated volume = 122.2 Å³/f.u.; formation energy = 0.97 eV per atom
1.0
0.0000 3.9383 3.9383
3.9383 0.0000 3.9383
3.9383 3.9383 0.0000
Ba Pb W
1 2 1
direct
0.0000 0.0000 0.0000
0.2500 0.2500 0.2500
0.5000 0.5000 0.5000
0.7500 0.7500 0.7500

***

5.
PdPb6 PBE optimized geometry; calculated volume = 202.6 Å³/f.u.; formation energy = 0.02 eV per atom
1.0
7.0755 4.0850 1.1685
-7.0755 4.0850 1.1685
0.0000 -8.1700 1.1685
Pd Pb
1 6
direct
0.0000 0.0000 0.0000
0.0723 0.2229 0.4737
0.2229 0.4737 0.0723
0.4737 0.0723 0.2229
0.5263 0.9276 0.7771
0.7771 0.5263 0.9276
0.9276 0.7771 0.5263

***

6.
PmHo2Ga2 PBE optimized geometry; relative energy among the computed polymorphs = 0.00 eV per formula unit; calculated volume = 127.3 Å³/f.u.; formation energy = -0.46 eV per atom
1.0
8.2483 0.0000 0.0000
0.0000 8.2483 0.0000
0.0000 0.0000 3.7414
Pm Ho Ga
2 4 4
direct
0.0000 0.0000 0.0000
0.5000 0.5000 0.0000
0.1744 0.3256 0.5000
0.3256 0.8256 0.5000
0.6744 0.1744 0.5000
0.8256 0.6744 0.5000
0.1208 0.6208 0.0000
0.3792 0.1208 0.0000
0.6208 0.8792 0.0000
0.8792 0.3792 0.0000

***

Number 1: calculated total energy -29.4 eV/cell. Number 2: calculated total energy -22.7 eV/cell. Number 3: calculated total energy -35.6 eV/cell. Number 4: calculated total energy -18.4 eV/cell. Number 5: calculated total energy -27.3 eV/cell. Number 6: calculated total energy -44.5 eV/cell.